(1)
Entry from Alexandria via LeMat-Bulk: TaMoRh2 after structural relaxation (GGA-PBE).

The space group is P4/mmm (No. 123) and the conventional cell measures 2.801, 2.801 and 7.846 Å, with angles of 90.00, 90.00 and 90.00 degrees. The distinct sites, in fractional coordinates, are Ta at (0.000, 0.000, 0.000), Mo at (0.000, 0.000, 0.500) and Rh at (0.500, 0.500, 0.256).

The calculation puts the volume at 15.4 Å³ per atom. The density of states at the Fermi level is 1.384 states/eV per atom. As for the formation energy: -0.306 eV per atom. As for the excess energy over the best structure of this formula in the dataset: 49 meV/atom. The calculation puts the total energy at -9.65 eV/atom.

***

(2)
Entry from Alexandria via LeMat-Bulk: Ta2MoRh after structural relaxation (GGA-PBE).

The space group is P4/mmm (No. 123) and the conventional cell measures 3.234, 3.234 and 6.333 Å, with angles of 90.00, 90.00 and 90.00 degrees. The distinct sites, in fractional coordinates, are Ta at (0.000, 0.000, 0.245), Mo at (0.500, 0.500, 0.000) and Rh at (0.500, 0.500, 0.500).

The calculation puts the volume at 16.6 Å³ per atom. The density of states at the Fermi level is 0.650 states/eV per atom. As for the formation energy: -0.348 eV per atom. As for the excess energy over the best structure of this formula in the dataset: 0 meV/atom. The calculation puts the total energy at -10.82 eV/atom.

***

(3)
Entry from Alexandria via LeMat-Bulk: TaMo2Rh after structural relaxation (GGA-PBE).

The space group is Pmm2 (No. 25) and the conventional cell measures 2.762, 3.963 and 5.895 Å, with angles of 90.00, 90.00 and 90.00 degrees. The distinct sites, in fractional coordinates, are Ta at (0.000, 0.000, 0.000), Mo at (0.000, 0.000, 0.513), Mo at (0.500, 0.500, 0.271) and Rh at (0.500, 0.500, 0.763).

The calculation puts the volume at 16.1 Å³ per atom. The density of states at the Fermi level is 0.994 states/eV per atom. As for the formation energy: 0.025 eV per atom. As for the excess energy over the best structure of this formula in the dataset: 156 meV/atom. The calculation puts the total energy at -10.19 eV/atom.

***

(4)
Entry from Alexandria via LeMat-Bulk: TaMo2Rh after structural relaxation (GGA-PBE).

The space group is P4mm (No. 99) and the conventional cell measures 2.748, 2.748 and 8.525 Å, with angles of 90.00, 90.00 and 90.00 degrees. The distinct sites, in fractional coordinates, are Ta at (0.000, 0.000, 0.000), Mo at (0.000, 0.000, 0.535), Mo at (0.500, 0.500, 0.271) and Rh at (0.500, 0.500, 0.757).

The calculation puts the volume at 16.1 Å³ per atom. The density of states at the Fermi level is 0.737 states/eV per atom. As for the formation energy: -0.041 eV per atom. As for the excess energy over the best structure of this formula in the dataset: 90 meV/atom. The calculation puts the total energy at -10.26 eV/atom.

***

(5)
Entry from Alexandria via LeMat-Bulk: TaMoRh after structural relaxation (GGA-PBE).

The space group is P4/nmm (No. 129, origin choice 2) and the conventional cell measures 4.202, 4.202 and 6.421 Å, with angles of 90.00, 90.00 and 90.00 degrees. The distinct sites, in fractional coordinates, are Ta at (0.250, 0.250, 0.228), Mo at (0.250, 0.750, 0.500) and Rh at (0.250, 0.750, 0.000).

The calculation puts the volume at 18.9 Å³ per atom. The density of states at the Fermi level is 0.705 states/eV per atom. As for the formation energy: 0.448 eV per atom. As for the excess energy over the best structure of this formula in the dataset: 627 meV/atom. The calculation puts the total energy at -9.56 eV/atom.

***

(6)
Entry from Alexandria via LeMat-Bulk: TaMo2Rh after structural relaxation (GGA-PBE).

The space group is P2/m (No. 10) and the conventional cell measures 2.752, 4.559 and 5.194 Å, with angles of 90.00, 100.69 and 90.00 degrees. The distinct sites, in fractional coordinates, are Ta at (0.000, 0.000, 0.000), Mo at (0.237, 0.500, 0.755) and Rh at (0.500, 0.000, 0.500).

The calculation puts the volume at 16.0 Å³ per atom. The density of states at the Fermi level is 0.971 states/eV per atom. As for the formation energy: -0.050 eV per atom. As for the excess energy over the best structure of this formula in the dataset: 81 meV/atom. The calculation puts the total energy at -10.27 eV/atom.

***

(7)
Entry from Alexandria via LeMat-Bulk: TaMo2Rh after structural relaxation (GGA-PBE).

The space group is Pm (No. 6) and the conventional cell measures 2.762, 4.435 and 5.313 Å, with angles of 90.00, 99.92 and 90.00 degrees. The distinct sites, in fractional coordinates, are Ta at (0.000, 0.000, 0.000), Mo at (0.536, 0.000, 0.488), Mo at (0.766, 0.500, 0.263) and Rh at (0.240, 0.500, 0.766).

The calculation puts the volume at 16.0 Å³ per atom. The density of states at the Fermi level is 0.834 states/eV per atom. As for the formation energy: -0.090 eV per atom. As for the excess energy over the best structure of this formula in the dataset: 40 meV/atom. The calculation puts the total energy at -10.31 eV/atom.

***

(8)
Entry from Alexandria via LeMat-Bulk: TaMoRh2 after structural relaxation (GGA-PBE).

The space group is I-42d (No. 122) and the conventional cell measures 7.012, 7.012 and 5.458 Å, with angles of 90.00, 90.00 and 90.00 degrees. The distinct sites, in fractional coordinates, are Ta at (0.000, 0.000, 0.000), Mo at (0.000, 0.000, 0.500) and Rh at (0.246, 0.250, 0.625).

The calculation puts the volume at 16.8 Å³ per atom. The density of states at the Fermi level is 0.762 states/eV per atom. As for the formation energy: 0.232 eV per atom. As for the excess energy over the best structure of this formula in the dataset: 587 meV/atom. The calculation puts the total energy at -9.11 eV/atom.

***

(9)
Entry from Alexandria via LeMat-Bulk: Ta2MoRh after structural relaxation (GGA-PBE).

The space group is Pmmm (No. 47) and the conventional cell measures 3.361, 4.265 and 4.637 Å, with angles of 90.00, 90.00 and 90.00 degrees. The distinct sites, in fractional coordinates, are Ta at (0.000, 0.000, 0.000), Ta at (0.500, 0.000, 0.500), Mo at (0.000, 0.500, 0.500) and Rh at (0.500, 0.500, 0.000).

The calculation puts the volume at 16.6 Å³ per atom. The density of states at the Fermi level is 1.137 states/eV per atom. As for the formation energy: -0.134 eV per atom. As for the excess energy over the best structure of this formula in the dataset: 214 meV/atom. The calculation puts the total energy at -10.61 eV/atom.

***

(10)
Entry from Alexandria via LeMat-Bulk: TaMoRh2 after structural relaxation (GGA-PBE).

The space group is F-43m (No. 216) and the conventional cell measures 6.291, 6.291 and 6.291 Å, with angles of 90.00, 90.00 and 90.00 degrees. The distinct sites, in fractional coordinates, are Ta at (0.000, 0.000, 0.000), Mo at (0.250, 0.250, 0.750), Rh at (0.000, 0.000, 0.500) and Rh at (0.250, 0.250, 0.250).

The calculation puts the volume at 15.6 Å³ per atom. The density of states at the Fermi level is 0.983 states/eV per atom. As for the formation energy: -0.111 eV per atom. As for the excess energy over the best structure of this formula in the dataset: 244 meV/atom. The calculation puts the total energy at -9.46 eV/atom.

***

(11)
Entry from Alexandria via LeMat-Bulk: TaMoRh2 after structural relaxation (GGA-PBE).

The space group is P2/m (No. 10) and the conventional cell measures 4.798, 2.835 and 4.820 Å, with angles of 90.00, 108.85 and 90.00 degrees. The distinct sites, in fractional coordinates, are Ta at (0.000, 0.000, 0.000), Mo at (0.500, 0.500, 0.000), Rh at (0.000, 0.500, 0.500) and Rh at (0.500, 0.000, 0.500).

The calculation puts the volume at 15.5 Å³ per atom. The density of states at the Fermi level is 0.810 states/eV per atom. As for the formation energy: -0.158 eV per atom. As for the excess energy over the best structure of this formula in the dataset: 197 meV/atom. The calculation puts the total energy at -9.50 eV/atom.

***

(12)
Entry from Alexandria via LeMat-Bulk: TaMoRhW after structural relaxation (GGA-PBE).

The space group is F-43m (No. 216) and the conventional cell measures 6.361, 6.361 and 6.361 Å, with angles of 90.00, 90.00 and 90.00 degrees. The distinct sites, in fractional coordinates, are Ta at (0.000, 0.000, 0.000), Mo at (0.250, 0.250, 0.750), Rh at (0.250, 0.250, 0.250) and W at (0.000, 0.000, 0.500).

The calculation puts the volume at 16.1 Å³ per atom. The density of states at the Fermi level is 0.886 states/eV per atom. As for the formation energy: -0.052 eV per atom. The calculation puts the total energy at -10.80 eV/atom.

***

(13)
Entry from Alexandria via LeMat-Bulk: Ta2MoRhW after structural relaxation (GGA-PBE).

The space group is P4/mmm (No. 123) and the conventional cell measures 4.744, 4.744 and 4.590 Å, with angles of 90.00, 90.00 and 90.00 degrees. The distinct sites, in fractional coordinates, are Ta at (0.000, 0.500, 0.000), Mo at (0.000, 0.000, 0.500), Rh at (0.000, 0.000, 0.000) and W at (0.500, 0.500, 0.500).

The calculation puts the volume at 20.7 Å³ per atom. The density of states at the Fermi level is 1.084 states/eV per atom. As for the formation energy: 1.606 eV per atom. The calculation puts the total energy at -9.36 eV/atom.

***

(14)
Entry from Alexandria via LeMat-Bulk: Tc2MoRh6 after structural relaxation (GGA-PBE).

The space group is C2/m (No. 12) and the conventional cell measures 8.645, 3.855 and 8.207 Å, with angles of 90.00, 108.72 and 90.00 degrees. The distinct sites, in fractional coordinates, are Tc at (0.169, 0.000, 0.227), Mo at (0.000, 0.500, 0.000), Rh at (0.000, 0.500, 0.325), Rh at (0.166, 0.000, 0.892) and Rh at (0.169, 0.000, 0.554).

The calculation puts the volume at 14.4 Å³ per atom. The density of states at the Fermi level is 1.036 states/eV per atom. As for the formation energy: -0.099 eV per atom. The calculation puts the total energy at -8.51 eV/atom.

***

(15)
Entry from Alexandria via LeMat-Bulk: Tc3MoRh after structural relaxation (GGA-PBE).

The space group is Pm-3m (No. 221) and the conventional cell measures 4.580, 4.580 and 4.580 Å, with angles of 90.00, 90.00 and 90.00 degrees. The distinct sites, in fractional coordinates, are Tc at (0.000, 0.000, 0.500), Mo at (0.500, 0.500, 0.500) and Rh at (0.000, 0.000, 0.000).

The calculation puts the volume at 19.2 Å³ per atom. The density of states at the Fermi level is 2.223 states/eV per atom. As for the formation energy: 2.048 eV per atom. As for the excess energy over the best structure of this formula in the dataset: 243 meV/atom. The calculation puts the total energy at -7.81 eV/atom.